Below is an optimized crystal structure of Cs2Cd2S3, with properties calculated at the PBE-GGA level.

M_tot in μB per cell: 0.000
Space-group type: No. 12
E_form (uncorrected) in eV/atom: -0.881

a b c (Å): 7.5667 7.5667 8.7676
angles (deg): 122.35 122.35 33.32
Element x y z (fractional)
Cs: 0.0629 0.0629 0.3419
Cs: 0.9371 0.9371 0.6581
Cd: 0.3056 0.3056 0.9245
Cd: 0.6944 0.6944 0.0755
S: 0.3100 0.3100 0.2355
S: 0.5000 0.5000 0.0000
S: 0.6900 0.6900 0.7645

Below is an optimized crystal structure of PuAgSeBr, with properties calculated at the PBE-GGA level.

M_tot in μB per cell: 11.791
Space-group type: No. 166
E_form (uncorrected) in eV/atom: -0.918

a b c (Å): 14.1976 14.1976 14.1976
angles (deg): 17.53 17.53 17.53
Element x y z (fractional)
Pu: 0.0861 0.0861 0.0861
Pu: 0.9139 0.9139 0.9139
Ag: 0.3133 0.3133 0.3133
Ag: 0.6867 0.6867 0.6867
Se: 0.3821 0.3821 0.3821
Se: 0.6179 0.6179 0.6179
Br: 0.2073 0.2073 0.2073
Br: 0.7927 0.7927 0.7927

Below is an optimized crystal structure of LaHfAs, with properties calculated at the PBE-GGA level.

M_tot in μB per cell: 0.866
Energy of formation from the pure elements in eV per formula unit: -2.72
Space-group type: No. 139

a b c (Å): 8.9193 8.9193 8.9193
angles (deg): 152.85 152.85 38.78
Element x y z (fractional)
La: 0.1756 0.1756 0.0000
La: 0.8244 0.8244 0.0000
Hf: 0.0000 0.5000 0.5000
Hf: 0.5000 0.0000 0.5000
As: 0.3825 0.3825 0.0000
As: 0.6175 0.6175 0.0000